Computed, not measured: a relaxed KSmTeO4 crystal at the PBE level of DFT.

Cell and atoms, written as CIF:
```
data_KSmTeO4
_chemical_formula_sum 'K2 Sm2 Te2 O8'
_cell_length_a 5.929
_cell_length_b 6.052
_cell_length_c 8.040
_cell_angle_alpha 90.00
_cell_angle_beta 109.41
_cell_angle_gamma 90.00
_space_group_name_H-M_alt 'P 1 21/m 1'
_space_group_IT_number 11
_space_group_name_Hall '-P 2yb'
loop_
_atom_site_label
_atom_site_type_symbol
_atom_site_fract_x
_atom_site_fract_y
_atom_site_fract_z
K1 K 0.066 0.250 0.149
Sm1 Sm 0.177 0.750 0.463
Te1 Te 0.414 0.250 0.753
O1 O 0.167 0.009 0.677
O2 O 0.223 0.750 0.188
O3 O 0.412 0.250 0.510
```

Results
DOS at the Fermi energy, states/eV/cell: 0.000
DFT total energy, eV/f.u.: -43.0